A relaxed LaPrSi2 crystal, computed with GGA-PBE. Values from VASP.

Computed properties:
E_tot: -5.655 eV/atom
offset from the most stable computed form: 0.000 eV/atom

The structure in Quantum ESPRESSO input format:
```
&SYSTEM
  ibrav = 0, nat = 8, ntyp = 3
/
ATOMIC_SPECIES
La 138.91 La.upf
Pr 140.91 Pr.upf
Si 28.09 Si.upf
CELL_PARAMETERS angstrom
4.3210 0.0000 0.0000
-2.1605 3.7421 0.0000
0.0000 0.0000 13.5667
ATOMIC_POSITIONS crystal
La 0.0000 0.0000 0.1561
La 0.0000 0.0000 0.8439
Pr 0.3333 0.6667 0.6000
Pr 0.6667 0.3333 0.4000
Si 0.3333 0.6667 0.2936
Si 0.3333 0.6667 0.9948
Si 0.6667 0.3333 0.0052
Si 0.6667 0.3333 0.7064
```



A relaxed LaPrSi crystal, computed with GGA-PBE. Values from VASP.

Computed properties:
E_tot: -5.489 eV/atom
offset from the most stable computed form: 0.000 eV/atom

The structure in Quantum ESPRESSO input format:
```
&SYSTEM
  ibrav = 0, nat = 3, ntyp = 3
/
ATOMIC_SPECIES
La 138.91 La.upf
Pr 140.91 Pr.upf
Si 28.09 Si.upf
CELL_PARAMETERS angstrom
0.0000 3.6000 3.6000
3.6000 0.0000 3.6000
3.6000 3.6000 0.0000
ATOMIC_POSITIONS crystal
La 0.0000 0.0000 0.0000
Pr 0.5000 0.5000 0.5000
Si 0.2500 0.2500 0.2500
```



A relaxed LaPr3Si4 crystal, computed with GGA-PBE. Values from VASP.

Computed properties:
E_tot: -5.862 eV/atom

The structure in Quantum ESPRESSO input format:
```
&SYSTEM
  ibrav = 0, nat = 8, ntyp = 3
/
ATOMIC_SPECIES
La 138.91 La.upf
Pr 140.91 Pr.upf
Si 28.09 Si.upf
CELL_PARAMETERS angstrom
5.9956 0.0000 0.0000
0.0000 3.9755 0.0000
-0.0261 0.0000 8.3569
ATOMIC_POSITIONS crystal
La 0.0000 0.0000 0.0000
Pr 0.2736 0.0000 0.5003
Pr 0.5008 0.5000 0.1417
Pr 0.7727 0.5000 0.6405
Si 0.0062 0.5000 0.2878
Si 0.2685 0.5000 0.7851
Si 0.5067 0.0000 0.8540
Si 0.7669 0.0000 0.3566
```



A relaxed LaPrSi4 crystal, computed with GGA-PBE. Values from VASP.

Computed properties:
E_tot: -5.869 eV/atom

The structure in Quantum ESPRESSO input format:
```
&SYSTEM
  ibrav = 0, nat = 6, ntyp = 3
/
ATOMIC_SPECIES
La 138.91 La.upf
Pr 140.91 Pr.upf
Si 28.09 Si.upf
CELL_PARAMETERS angstrom
-2.1512 2.1512 6.9224
2.1512 -2.1512 6.9224
2.1512 2.1512 -6.9224
ATOMIC_POSITIONS crystal
La 0.0000 0.0000 0.0000
Pr 0.2500 0.7500 0.5000
Si 0.4150 0.4150 0.0000
Si 0.5850 0.5850 0.0000
Si 0.6652 0.1652 0.5000
Si 0.8348 0.3348 0.5000
```